# 1
A relaxed Rb2CdPF6 crystal, computed with PBE.

Lattice parameters (Å, degrees): 6.8171 6.8171 6.8171 127.69 127.69 77.13
Closest atoms and distances in Å follow each position.
Positions (direct):
Rb 0.2500 0.7500 0.5000  12 F 3.05-3.41
Rb 0.7500 0.2500 0.5000  12 F 3.05-3.41
Cd 0.0000 0.0000 0.0000  6 F 2.16-2.31
P 0.5000 0.5000 0.0000  4 F 1.94
F 0.2022 0.2022 0.0000  1 Cd 2.16
F 0.2721 0.2721 0.5443  1 P 1.94
F 0.2721 0.7279 0.0000  1 P 1.94
F 0.7279 0.2721 0.0000  1 P 1.94
F 0.7279 0.7279 0.4557  1 P 1.94
F 0.7978 0.7978 0.0000  1 Cd 2.16

## Properties
* space-group type: I4/mmm
* raw total energy: -41.12 eV per cell
* ΔE_f (raw): -21.630 eV per formula unit

# 2
A relaxed RbCdP2F crystal, computed with PBE.

Lattice parameters (Å, degrees): 5.0939 5.0939 5.0405 90.00 90.00 90.00
Closest atoms and distances in Å follow each position.
Positions (direct):
Rb 0.0000 0.0000 0.0000  8 P 3.58, 4 F 3.60
Cd 0.5000 0.5000 0.5000  2 F 2.52, 4 P 2.55
P 0.0000 0.5000 0.5000  2 Cd 2.55
P 0.5000 0.0000 0.5000  2 Cd 2.55
F 0.5000 0.5000 0.0000  2 Cd 2.52

## Properties
* space-group type: P4/mmm
* raw total energy: -15.21 eV per cell
* ΔE_f (raw): -0.632 eV per formula unit

# 3
A relaxed CdP2SF crystal, computed with PBE.

Lattice parameters (Å, degrees): 5.0501 5.0501 4.9005 90.00 90.00 90.00
Closest atoms and distances in Å follow each position.
Positions (direct):
Cd 0.0000 0.0000 0.0000  2 S 2.45, 4 P 2.53
P 0.0000 0.5000 0.0000  2 Cd 2.53
P 0.5000 0.0000 0.0000  2 Cd 2.53
S 0.0000 0.0000 0.5000  2 Cd 2.45
F 0.5000 0.5000 0.5000  8 P 3.52, 4 S 3.57

## Properties
* space-group type: P4/mmm
* raw total energy: -12.34 eV per cell
* energy above the most stable polymorph in this dataset: 547 meV per atom
* ΔE_f (raw): 5.394 eV per formula unit

# 4
A relaxed CdP2SF crystal, computed with PBE.

Lattice parameters (Å, degrees): 4.0287 4.0287 6.0368 90.00 90.00 90.00
Closest atoms and distances in Å follow each position.
Positions (direct):
Cd 0.0000 0.0000 0.0000  4 S 2.85
P 0.0000 0.5000 0.5000  2 F 2.01
P 0.5000 0.0000 0.5000  2 F 2.01
S 0.5000 0.5000 0.0000  4 Cd 2.85, 2 F 3.02
F 0.5000 0.5000 0.5000  4 P 2.01

## Properties
* space-group type: P4/mmm
* raw total energy: -15.07 eV per cell
* energy above the most stable polymorph in this dataset: 0 meV per atom
* ΔE_f (raw): 2.661 eV per formula unit